Record 1
## VCoB (PBE-GGA)

Data for VCoB after structural relaxation.

a b c (Å): 3.112 5.662 9.705
angles (deg): 90.00 90.00 90.00
Fractional positions:
V 0.000 0.142 0.250
V 0.000 0.229 0.958
V 0.000 0.771 0.458
V 0.000 0.858 0.750
V 0.000 0.771 0.042
V 0.000 0.229 0.542
Co 0.500 0.573 0.624
Co 0.500 0.427 0.124
Co 0.500 0.200 0.750
Co 0.500 0.800 0.250
Co 0.500 0.427 0.376
Co 0.500 0.573 0.876
B 0.500 0.950 0.912
B 0.000 0.441 0.750
B 0.500 0.950 0.588
B 0.000 0.559 0.250
B 0.500 0.050 0.412
B 0.500 0.050 0.088

SG: No. 51
raw total energy: -8.1724 eV/atom
energy of formation from the pure elements: -538 meV per atom
DOS at the Fermi energy: 0.9377 states/eV per atom
crystal system: orthorhombic

Record 2
## LaPm8Nd2 (PBE-GGA)

Data for LaPm8Nd2 after structural relaxation.

a b c (Å): 5.703 8.399 9.558
angles (deg): 116.06 107.36 90.00
Fractional positions:
Pm 0.840 0.840 0.680
Pm 0.361 0.566 0.722
Pm 0.639 0.844 0.278
Pm 0.000 0.294 0.000
Pm 0.000 0.706 0.000
Pm 0.639 0.434 0.278
Pm 0.361 0.156 0.722
Pm 0.160 0.160 0.320
La 0.500 0.000 0.000
Nd 0.200 0.700 0.400
Nd 0.800 0.300 0.600

SG: No. 71
raw total energy: -4.6641 eV/atom
energy of formation from the pure elements: 106 meV per atom
DOS at the Fermi energy: 1.4820 states/eV per atom
crystal system: orthorhombic

Record 3
## TbZnF (PBE-GGA)

Data for TbZnF after structural relaxation.

a b c (Å): 3.478 3.480 13.677
angles (deg): 90.00 90.00 119.98
Fractional positions:
Zn 0.290 0.580 0.500
Zn 0.608 0.216 0.000
F 0.609 0.218 0.737
F 0.609 0.218 0.263
Tb 0.275 0.551 0.832
Tb 0.275 0.551 0.168

ΔE_f (raw): -1.47 eV/atom
SG: No. 38
raw total energy: -4.0644 eV/atom
DOS at the Fermi energy: 0.4183 states/eV per atom
crystal system: orthorhombic

Record 4
## AgHgGe2O6 (PBE-GGA)

Data for AgHgGe2O6 after structural relaxation.

a b c (Å): 5.645 7.474 7.474
angles (deg): 88.14 75.13 75.13
Fractional positions:
O 0.501 0.606 0.680
O 0.129 0.600 0.141
O 0.629 0.141 0.600
O 0.999 0.320 0.394
O 0.001 0.680 0.606
O 0.363 0.198 0.042
O 0.371 0.859 0.400
O 0.871 0.400 0.859
O 0.863 0.042 0.198
O 0.137 0.958 0.802
O 0.499 0.394 0.320
O 0.637 0.802 0.958
Ag 0.250 0.900 0.100
Ag 0.750 0.100 0.900
Ge 0.249 0.783 0.624
Ge 0.749 0.624 0.783
Ge 0.251 0.376 0.217
Ge 0.751 0.217 0.376
Hg 0.750 0.721 0.279
Hg 0.250 0.279 0.721

ΔE_f (raw): -1.01 eV/atom
SG: No. 15
raw total energy: -5.2262 eV/atom
DOS at the Fermi energy: 0.2975 states/eV per atom
crystal system: monoclinic

Record 5
## LiNp2Ru4 (PBE-GGA)

Data for LiNp2Ru4 after structural relaxation.

a b c (Å): 8.734 5.624 5.602
angles (deg): 119.74 90.00 90.00
Fractional positions:
Li 0.000 0.000 0.000
Li 0.500 0.500 0.000
Ru 0.260 0.255 0.243
Ru 0.760 0.245 0.757
Ru 0.240 0.755 0.243
Ru 0.740 0.256 0.244
Ru 0.260 0.744 0.756
Ru 0.240 0.244 0.756
Ru 0.760 0.756 0.244
Ru 0.740 0.745 0.757
Np 0.000 0.341 0.632
Np 0.500 0.159 0.368
Np 0.000 0.659 0.368
Np 0.500 0.841 0.632

SG: No. 12
raw total energy: -9.3027 eV/atom
energy of formation from the pure elements: -31 meV per atom
DOS at the Fermi energy: 1.1025 states/eV per atom
crystal system: monoclinic

Record 6
## MgNbH2 (PBE-GGA)

Data for MgNbH2 after structural relaxation.

a b c (Å): 4.930 4.930 5.029
angles (deg): 60.65 60.65 90.00
Fractional positions:
H 0.875 0.899 0.750
H 0.375 0.351 0.750
H 0.101 0.625 0.250
H 0.649 0.125 0.250
Mg 0.250 0.750 0.500
Mg 0.500 0.500 0.000
Nb 0.750 0.250 0.500
Nb 0.000 0.000 0.000

SG: No. 122
raw total energy: -4.6340 eV/atom
DOS at the Fermi energy: 0.1839 states/eV per atom
crystal system: tetragonal

Record 7
## KBaRe2 (PBE-GGA)

Data for KBaRe2 after structural relaxation.

a b c (Å): 2.837 2.837 11.556
angles (deg): 90.00 90.00 100.23
Fractional positions:
Re 0.000 0.000 0.497
Re 0.000 0.000 0.003
Ba 0.500 0.500 0.250
K 0.500 0.500 0.750

SG: No. 65
raw total energy: -5.3141 eV/atom
energy of formation from the pure elements: 1665 meV per atom
DOS at the Fermi energy: 1.0028 states/eV per atom
crystal system: orthorhombic

Record 8
## YScGa3 (PBE-GGA)

Data for YScGa3 after structural relaxation.

a b c (Å): 5.259 5.259 5.259
angles (deg): 90.00 90.00 90.00
Fractional positions:
Y 0.000 0.000 0.000
Ga 0.500 0.000 0.000
Ga 0.000 0.000 0.500
Ga 0.000 0.500 0.000
Sc 0.500 0.500 0.500

SG: No. 221
raw total energy: -3.7903 eV/atom
energy of formation from the pure elements: 585 meV per atom
DOS at the Fermi energy: 0.9499 states/eV per atom
crystal system: cubic